[1]
Computed, not measured: a relaxed BaY2Nb crystal at the PBE level of DFT.

Unit cell a=8.304 b=8.304 c=8.304 alpha=122.33 beta=122.33 gamma=86.01
Fractional coordinates of all 8 atoms:
1 Ba 0.375 0.625 0.750
2 Ba 0.625 0.375 0.250
3 Y 0.000 0.000 0.000
4 Y 0.000 0.000 0.500
5 Y 0.000 0.500 0.000
6 Y 0.500 0.000 0.500
7 Nb 0.125 0.875 0.250
8 Nb 0.875 0.125 0.750

Summary:
Energy of formation from the pure elements, eV per atom: 1.130


[2]
Computed, not measured: a relaxed Ba2YNb crystal at the PBE level of DFT.

Unit cell a=5.936 b=5.936 c=5.936 alpha=60.00 beta=60.00 gamma=60.00
Fractional coordinates of all 4 atoms:
1 Ba 0.250 0.250 0.250
2 Ba 0.750 0.750 0.750
3 Y 0.000 0.000 0.000
4 Nb 0.500 0.500 0.500

Summary:
Energy of formation from the pure elements, eV per atom: 0.888


[3]
Computed, not measured: a relaxed Ba3YNb crystal at the PBE level of DFT.

Unit cell a=6.243 b=6.243 c=6.243 alpha=90.00 beta=90.00 gamma=90.00
Fractional coordinates of all 5 atoms:
1 Ba 0.000 0.000 0.500
2 Ba 0.000 0.500 0.000
3 Ba 0.500 0.000 0.000
4 Y 0.000 0.000 0.000
5 Nb 0.500 0.500 0.500

Summary:
Energy of formation from the pure elements, eV per atom: 1.673


[4]
Computed, not measured: a relaxed BaYNb3 crystal at the PBE level of DFT.

Unit cell a=5.235 b=5.235 c=5.235 alpha=90.00 beta=90.00 gamma=90.00
Fractional coordinates of all 5 atoms:
1 Ba 0.000 0.000 0.000
2 Y 0.500 0.500 0.500
3 Nb 0.000 0.500 0.500
4 Nb 0.500 0.000 0.500
5 Nb 0.500 0.500 0.000

Summary:
Energy of formation from the pure elements, eV per atom: 1.763


[5]
Computed, not measured: a relaxed BaY3Nb crystal at the PBE level of DFT.

Unit cell a=5.514 b=5.514 c=5.514 alpha=90.00 beta=90.00 gamma=90.00
Fractional coordinates of all 5 atoms:
1 Ba 0.000 0.000 0.000
2 Y 0.000 0.000 0.500
3 Y 0.000 0.500 0.000
4 Y 0.500 0.000 0.000
5 Nb 0.500 0.500 0.500

Summary:
Energy of formation from the pure elements, eV per atom: 1.660


[6]
Computed, not measured: a relaxed BaYNb2 crystal at the PBE level of DFT.

Unit cell a=5.242 b=5.242 c=5.242 alpha=60.00 beta=60.00 gamma=60.00
Fractional coordinates of all 4 atoms:
1 Ba 0.000 0.000 0.000
2 Y 0.500 0.500 0.500
3 Nb 0.250 0.250 0.250
4 Nb 0.750 0.750 0.750

Summary:
Energy of formation from the pure elements, eV per atom: 1.103


Number 1: energy relative to the lowest polymorph listed for this composition 0.523 eV per atom, density of states at the Fermi level 13.45 states/eV/f.u., total magnetic moment 0.00 μB/f.u.. Number 2: energy relative to the lowest polymorph listed for this composition 0.000 eV per atom, density of states at the Fermi level 7.00 states/eV/f.u., total magnetic moment 2.61 μB/f.u.. Number 3: energy relative to the lowest polymorph listed for this composition 0.744 eV per atom, density of states at the Fermi level 28.91 states/eV/f.u., total magnetic moment 0.00 μB/f.u.. Number 4: energy relative to the lowest polymorph listed for this composition 0.000 eV per atom, density of states at the Fermi level 7.39 states/eV/f.u., total magnetic moment 1.22 μB/f.u.. Number 5: energy relative to the lowest polymorph listed for this composition 1.270 eV per atom, density of states at the Fermi level 8.94 states/eV/f.u., total magnetic moment 0.00 μB/f.u.. Number 6: energy relative to the lowest polymorph listed for this composition 0.000 eV per atom, density of states at the Fermi level 7.42 states/eV/f.u., total magnetic moment 0.00 μB/f.u..